# 1
Here is a geometry-optimized RbGa2PbBr8 structure from Alexandria via LeMat-Bulk. Energies are from PBE.

Cell: 7.1207 7.1207 30.8559 Å, 90.00 90.00 120.00°
Space group R-3 (No. 148, hexagonal axes)
Inequivalent atoms, fractional coordinates:
Rb: 0.0000 0.0000 0.0000
Ga: 0.0000 0.0000 0.2527
Pb: 0.0000 0.0000 0.5000
Br: 0.0000 0.0000 0.3306
Br: 0.0033 0.6516 0.5600

Output
For the size of the total moment, the calculation gives 0.00 μB per cell. The value obtained for the formation energy from raw total energies is -907 meV/atom.

# 2
Here is a geometry-optimized ScGaPbBr2 structure from Alexandria via LeMat-Bulk. Energies are from PBE.

Cell: 5.1410 5.1410 5.8388 Å, 90.00 90.00 90.00°
Space group P4/mmm (No. 123)
Inequivalent atoms, fractional coordinates:
Sc: 0.0000 0.0000 0.0000
Ga: 0.0000 0.0000 0.5000
Pb: 0.5000 0.5000 0.5000
Br: 0.0000 0.5000 0.0000

Output
For the size of the total moment, the calculation gives 0.00 μB per cell. The value obtained for the formation energy from raw total energies is -405 meV/atom.

# 3
Here is a geometry-optimized Ga2PbSeBr structure from Alexandria via LeMat-Bulk. Energies are from PBE.

Cell: 5.3072 5.3072 5.9510 Å, 90.00 90.00 90.00°
Space group P4/mmm (No. 123)
Inequivalent atoms, fractional coordinates:
Ga: 0.0000 0.5000 0.0000
Pb: 0.0000 0.0000 0.5000
Se: 0.0000 0.0000 0.0000
Br: 0.5000 0.5000 0.5000

Output
For the size of the total moment, the calculation gives 0.00 μB per cell. The value obtained for the formation energy from raw total energies is 90 meV/atom.